The following is a PBE calculation of a geometry-optimized AgOsBr2 structure, from the Alexandria database.

- crystal system = monoclinic
- excess energy over the best structure of this formula in the dataset (meV per atom) = 509
- raw formation energy (kJ/mol of atoms) = 93.3

abc: 6.1863 7.3610 3.1029
angles: 114.64 60.08 134.39
Closest atoms and distances in Å follow each position.
Fractional coordinates of all 4 atoms:
Ag: 0.5000 0.0000 0.5000  4 Br 2.68
Os: 0.5000 0.5000 0.0000  4 Br 2.68
Br: 0.0000 0.0000 0.0000  2 Ag 2.68, 2 Os 2.68
Br: 0.0000 0.5000 0.5000  2 Os 2.68, 2 Ag 2.68

The following is a PBE calculation of a geometry-optimized AgOsBr2 structure, from the Alexandria database.

- crystal system = cubic
- excess energy over the best structure of this formula in the dataset (meV per atom) = 692
- raw formation energy (kJ/mol of atoms) = 111.0

abc: 4.7611 4.7611 4.7611
angles: 60.00 60.00 60.00
Closest atoms and distances in Å follow each position.
Fractional coordinates of all 4 atoms:
Br: 0.2500 0.2500 0.2500  4 Os 2.92, 4 Ag 2.92
Ag: 0.0000 0.0000 0.0000  8 Br 2.92
Os: 0.5000 0.5000 0.5000  8 Br 2.92
Br: 0.7500 0.7500 0.7500  4 Os 2.92, 4 Ag 2.92

The following is a PBE calculation of a geometry-optimized AgOs2Br structure, from the Alexandria database.

- crystal system = tetragonal
- excess energy over the best structure of this formula in the dataset (meV per atom) = 97
- raw formation energy (kJ/mol of atoms) = 61.7

abc: 2.9458 2.9458 8.3278
angles: 90.00 90.00 90.00
Closest atoms and distances in Å follow each position.
Fractional coordinates of all 4 atoms:
Os: 0.0000 0.0000 0.0304  4 Os 2.58, 4 Br 2.86
Os: 0.5000 0.5000 0.2141  4 Os 2.58
Br: 0.5000 0.5000 0.7943  4 Os 2.86, 4 Br 2.95
Ag: 0.0000 0.0000 0.4612  4 Os 2.93, 4 Ag 2.95

The following is a PBE calculation of a geometry-optimized AgOsBr2 structure, from the Alexandria database.

- crystal system = monoclinic
- excess energy over the best structure of this formula in the dataset (meV per atom) = 214
- raw formation energy (kJ/mol of atoms) = 64.9

abc: 3.7216 3.7216 9.5638
angles: 78.27 78.27 60.01
Closest atoms and distances in Å follow each position.
Fractional coordinates of all 4 atoms:
Os: 0.2500 0.2500 0.2500  6 Br 2.52
Ag: 0.7500 0.7500 0.7500  6 Ag 3.72, 6 Br 3.95-3.99
Br: 0.9662 0.9662 0.1078  3 Os 2.52
Br: 0.5338 0.5338 0.3922  3 Os 2.52